# 1
## CsNa5Au3 (PBE-GGA)

Data for CsNa5Au3 after structural relaxation.

Structure (POSCAR):
```
CsNa5Au3
1.0
5.019 0.000 0.000
-2.509 7.365 0.000
0.000 0.000 15.513
Na Au Cs
10 6 2
Direct
0.000 0.000 0.500 Na
0.206 0.413 0.936 Na
0.428 0.856 0.150 Na
0.000 0.000 0.000 Na
0.794 0.587 0.064 Na
0.572 0.144 0.650 Na
0.572 0.144 0.850 Na
0.206 0.413 0.564 Na
0.794 0.587 0.436 Na
0.428 0.856 0.350 Na
0.870 0.740 0.250 Au
0.595 0.191 0.461 Au
0.405 0.809 0.539 Au
0.595 0.191 0.039 Au
0.405 0.809 0.961 Au
0.130 0.260 0.750 Au
0.851 0.702 0.750 Cs
0.149 0.298 0.250 Cs
```

Results
- total magnetic moment (μB per formula unit) = 0.00
- DFT formation energy (meV/atom) = -224
- space-group type = No. 63


# 2
## La2IrPd2 (PBE-GGA)

Data for La2IrPd2 after structural relaxation.

Structure (POSCAR):
```
La2IrPd2
1.0
-5.998 4.303 1.032
0.556 -0.992 7.366
2.395 3.276 0.260
Ir La Pd
2 4 4
Direct
0.500 0.500 0.000 Ir
0.000 0.000 0.000 Ir
0.815 0.315 0.500 La
0.685 0.815 0.500 La
0.185 0.685 0.500 La
0.315 0.185 0.500 La
0.871 0.629 0.000 Pd
0.129 0.371 0.000 Pd
0.371 0.871 0.000 Pd
0.629 0.129 0.000 Pd
```

Results
- total magnetic moment (μB per formula unit) = 0.00
- DFT formation energy (meV/atom) = -614
- space-group type = No. 127


# 3
## Ac6NdNi3 (PBE-GGA)

Data for Ac6NdNi3 after structural relaxation.

Structure (POSCAR):
```
Ac6NdNi3
1.0
-3.478 6.833 -0.486
1.925 0.334 -9.077
-8.262 -4.227 -0.296
Ac Ni Nd
12 6 2
Direct
0.990 0.774 0.226 Ac
0.315 0.582 0.973 Ac
0.315 0.027 0.418 Ac
0.815 0.418 0.027 Ac
0.490 0.226 0.774 Ac
0.679 0.295 0.375 Ac
0.815 0.973 0.582 Ac
0.648 0.965 0.035 Ac
0.179 0.375 0.295 Ac
0.148 0.035 0.965 Ac
0.679 0.625 0.705 Ac
0.179 0.705 0.625 Ac
0.971 0.711 0.902 Ni
0.870 0.581 0.419 Ni
0.471 0.902 0.711 Ni
0.370 0.419 0.581 Ni
0.471 0.289 0.098 Ni
0.971 0.098 0.289 Ni
0.548 0.670 0.330 Nd
0.048 0.330 0.670 Nd
```

Results
- total magnetic moment (μB per formula unit) = 0.00
- DFT formation energy (meV/atom) = -101
- space-group type = No. 36


# 4
## Mn2CdRhN (PBE-GGA)

Data for Mn2CdRhN after structural relaxation.

Structure (POSCAR):
```
Mn2CdRhN
1.0
-1.868 2.641 -2.338
-3.472 -0.912 1.745
0.656 3.016 2.882
Mn Cd N Rh
2 1 1 1
Direct
0.000 0.500 0.000 Mn
0.500 0.000 0.000 Mn
0.500 0.500 0.500 Cd
0.000 0.000 0.000 N
0.000 0.000 0.500 Rh
```

Results
- total magnetic moment (μB per formula unit) = 6.61
- space-group type = No. 123
- raw formation energy (meV/atom) = -87


# 5
## TlOs2Se (PBE-GGA)

Data for TlOs2Se after structural relaxation.

Structure (POSCAR):
```
TlOs2Se
1.0
-4.256 -1.502 0.758
-3.280 2.944 1.234
-3.354 1.050 -2.932
Os Tl Se
2 1 1
Direct
0.250 0.250 0.250 Os
0.750 0.750 0.750 Os
0.500 0.500 0.500 Tl
0.000 0.000 0.000 Se
```

Results
- polymorph energy (0 for the lowest one) (eV/atom) = 0.700
- total magnetic moment (μB per formula unit) = 0.00
- space-group type = No. 225
- raw formation energy (meV/atom) = 1168


# 6
## NiAs4W (PBE-GGA)

Data for NiAs4W after structural relaxation.

Structure (POSCAR):
```
NiAs4W
1.0
0.087 -4.363 -2.985
-3.647 -3.762 0.710
-3.742 -0.779 -3.654
As Ni W
4 1 1
Direct
0.375 0.876 0.375 As
0.375 0.375 0.876 As
0.375 0.375 0.375 As
0.876 0.375 0.375 As
0.750 0.750 0.750 Ni
0.000 0.000 0.000 W
```

Results
- total magnetic moment (μB per formula unit) = 0.00
- DFT formation energy (meV/atom) = 1026
- space-group type = No. 216


# 7
## Cs2RbMgSb (PBE-GGA)

Data for Cs2RbMgSb after structural relaxation.

Structure (POSCAR):
```
Cs2RbMgSb
1.0
-0.912 1.221 -7.712
4.717 -6.101 -1.523
-4.342 -3.353 -0.017
Mg Cs Rb Sb
1 2 1 1
Direct
0.000 0.000 0.500 Mg
0.500 0.000 0.000 Cs
0.000 0.500 0.000 Cs
0.500 0.500 0.500 Rb
0.000 0.000 0.000 Sb
```

Results
- total magnetic moment (μB per formula unit) = 0.00
- space-group type = No. 123
- raw formation energy (meV/atom) = -95


# 8
## NaB2F8 (PBE-GGA)

Data for NaB2F8 after structural relaxation.

Structure (POSCAR):
```
NaB2F8
1.0
-3.844 -1.292 -6.928
4.133 -2.355 2.797
-4.425 -1.562 2.747
F Na B
8 1 2
Direct
0.671 0.626 0.226 F
0.329 0.374 0.774 F
0.537 0.073 0.204 F
0.463 0.927 0.796 F
0.777 0.554 0.580 F
0.955 0.626 0.226 F
0.223 0.446 0.420 F
0.045 0.374 0.774 F
0.000 0.000 0.000 Na
0.745 0.490 0.309 B
0.255 0.510 0.691 B
```

Results
- polymorph energy (0 for the lowest one) (eV/atom) = 0.000
- total magnetic moment (μB per formula unit) = 1.14
- space-group type = No. 12
- raw formation energy (meV/atom) = -2570


# 9
## Mn2IrRu (PBE-GGA)

Data for Mn2IrRu after structural relaxation.

Structure (POSCAR):
```
Mn2IrRu
1.0
8.591 -0.006 -0.004
8.184 2.613 -0.004
8.184 1.272 2.283
Ru Mn Ir
1 2 1
Direct
0.250 0.250 0.250 Ru
0.000 0.000 0.000 Mn
0.500 0.500 0.500 Mn
0.750 0.750 0.750 Ir
```

Results
- total magnetic moment (μB per formula unit) = 1.81
- DFT formation energy (meV/atom) = 72
- space-group type = No. 166


# 10
## Re2PdRh2 (PBE-GGA)

Data for Re2PdRh2 after structural relaxation.

Structure (POSCAR):
```
Re2PdRh2
1.0
-4.037 -6.376 -0.561
6.351 -4.073 0.588
-0.287 -0.057 2.708
Re Rh Pd
4 4 2
Direct
0.878 0.622 0.000 Re
0.378 0.878 0.000 Re
0.622 0.122 0.000 Re
0.122 0.378 0.000 Re
0.330 0.170 0.500 Rh
0.170 0.670 0.500 Rh
0.670 0.830 0.500 Rh
0.830 0.330 0.500 Rh
0.000 0.000 0.000 Pd
0.500 0.500 0.000 Pd
```

Results
- polymorph energy (0 for the lowest one) (eV/atom) = 0.000
- total magnetic moment (μB per formula unit) = 0.00
- DFT formation energy (meV/atom) = 159
- space-group type = No. 127


# 11
## LaBAs2Se (PBE-GGA)

Data for LaBAs2Se after structural relaxation.

Structure (POSCAR):
```
LaBAs2Se
1.0
-1.918 0.517 -5.386
4.378 -3.210 -1.866
-3.156 -4.696 0.673
La As B Se
1 2 1 1
Direct
0.000 0.000 0.000 La
0.500 0.000 0.000 As
0.000 0.500 0.000 As
0.500 0.500 0.500 B
0.000 0.000 0.500 Se
```

Results
- polymorph energy (0 for the lowest one) (eV/atom) = 1.395
- total magnetic moment (μB per formula unit) = 0.11
- space-group type = No. 123
- raw formation energy (meV/atom) = 1258


# 12
## KOs2W (PBE-GGA)

Data for KOs2W after structural relaxation.

Structure (POSCAR):
```
KOs2W
1.0
4.532 0.000 0.000
2.266 3.925 0.000
2.266 1.308 3.700
K W Os
1 1 2
Direct
0.500 0.500 0.500 K
0.750 0.750 0.750 W
0.000 0.000 0.000 Os
0.250 0.250 0.250 Os
```

Results
- polymorph energy (0 for the lowest one) (eV/atom) = 0.910
- total magnetic moment (μB per formula unit) = 0.00
- DFT formation energy (meV/atom) = 1598
- space-group type = No. 216


# 13
## Ir2PbS (PBE-GGA)

Data for Ir2PbS after structural relaxation.

Structure (POSCAR):
```
Ir2PbS
1.0
4.753 0.000 0.000
0.000 4.753 0.000
2.377 2.377 7.496
Pb Ir S
2 4 2
Direct
0.000 0.000 0.000 Pb
0.750 0.250 0.500 Pb
0.375 0.506 0.750 Ir
0.875 0.744 0.750 Ir
0.494 0.125 0.250 Ir
0.256 0.625 0.250 Ir
0.250 0.750 0.500 S
0.500 0.500 0.000 S
```

Results
- polymorph energy (0 for the lowest one) (eV/atom) = 0.000
- total magnetic moment (μB per formula unit) = 0.00
- space-group type = No. 122
- raw formation energy (meV/atom) = 163


# 14
## Ac8Ni3RuCl4 (PBE-GGA)

Data for Ac8Ni3RuCl4 after structural relaxation.

Structure (POSCAR):
```
Ac8Ni3RuCl4
1.0
-7.757 1.347 -3.385
-3.521 -6.871 5.335
4.088 6.377 4.018
Ac Cl Ni Ru
8 4 3 1
Direct
0.233 0.701 0.969 Ac
0.264 0.299 0.031 Ac
0.733 0.699 0.466 Ac
0.767 0.299 0.031 Ac
0.736 0.701 0.969 Ac
0.233 0.701 0.466 Ac
0.267 0.301 0.534 Ac
0.767 0.299 0.534 Ac
0.000 0.000 0.000 Cl
0.500 0.000 0.000 Cl
0.000 0.000 0.500 Cl
0.500 0.000 0.500 Cl
0.000 0.500 0.500 Ni
0.500 0.500 0.000 Ni
0.500 0.500 0.500 Ni
0.000 0.500 0.000 Ru
```

Results
- total magnetic moment (μB per formula unit) = 0.00
- space-group type = No. 166
- raw formation energy (meV/atom) = -964


# 15
## Ir2PbC (PBE-GGA)

Data for Ir2PbC after structural relaxation.

Structure (POSCAR):
```
Ir2PbC
1.0
5.536 0.000 0.000
0.000 5.536 0.000
2.768 2.768 4.822
Ir C Pb
4 2 2
Direct
0.375 0.495 0.750 Ir
0.875 0.755 0.750 Ir
0.245 0.625 0.250 Ir
0.505 0.125 0.250 Ir
0.250 0.750 0.500 C
0.500 0.500 0.000 C
0.750 0.250 0.500 Pb
0.000 0.000 0.000 Pb
```

Results
- polymorph energy (0 for the lowest one) (eV/atom) = 0.000
- total magnetic moment (μB per formula unit) = 0.00
- DFT formation energy (meV/atom) = 558
- space-group type = No. 122


# 16
## BeTlRu3 (PBE-GGA)

Data for BeTlRu3 after structural relaxation.

Structure (POSCAR):
```
BeTlRu3
1.0
4.222 0.000 0.000
0.000 4.222 0.000
0.000 0.000 4.222
Be Tl Ru
1 1 3
Direct
0.000 0.000 0.000 Be
0.500 0.500 0.500 Tl
0.000 0.500 0.000 Ru
0.000 0.000 0.500 Ru
0.500 0.000 0.000 Ru
```

Results
- polymorph energy (0 for the lowest one) (eV/atom) = 0.000
- total magnetic moment (μB per formula unit) = 0.78
- DFT formation energy (meV/atom) = 592
- space-group type = No. 221


# 17
## ScCr2Cl (PBE-GGA)

Data for ScCr2Cl after structural relaxation.

Structure (POSCAR):
```
ScCr2Cl
1.0
3.057 0.000 0.000
0.000 3.082 0.007
0.000 1.525 7.221
Cr Cl Sc
2 1 1
Direct
0.000 0.782 0.062 Cr
0.500 0.199 0.226 Cr
0.500 0.948 0.730 Cl
0.000 0.571 0.482 Sc
```

Results
- polymorph energy (0 for the lowest one) (eV/atom) = 0.000
- total magnetic moment (μB per formula unit) = 1.42
- space-group type = No. 38
- raw formation energy (meV/atom) = -193


# 18
## BaTa2Br (PBE-GGA)

Data for BaTa2Br after structural relaxation.

Structure (POSCAR):
```
BaTa2Br
1.0
-0.890 -2.247 2.254
4.662 -0.477 1.365
-0.842 4.956 4.609
Ta Br Ba
2 1 1
Direct
0.500 0.500 0.000 Ta
0.000 0.000 0.000 Ta
0.000 0.500 0.500 Br
0.500 0.000 0.500 Ba
```

Results
- polymorph energy (0 for the lowest one) (eV/atom) = 0.538
- total magnetic moment (μB per formula unit) = 0.07
- space-group type = No. 47
- raw formation energy (meV/atom) = 670


# 19
## LiCu2Te2 (PBE-GGA)

Data for LiCu2Te2 after structural relaxation.

Structure (POSCAR):
```
LiCu2Te2
1.0
5.185 0.000 0.000
0.000 5.185 0.000
2.593 2.593 4.153
Cu Te Li
2 2 1
Direct
0.333 0.333 0.335 Cu
0.667 0.667 0.665 Cu
0.250 0.750 0.500 Te
0.750 0.250 0.500 Te
0.000 0.000 0.000 Li
```

Results
- polymorph energy (0 for the lowest one) (eV/atom) = 0.236
- total magnetic moment (μB per formula unit) = 0.00
- space-group type = No. 139
- raw formation energy (meV/atom) = -61


# 20
## MoIr3Ru (PBE-GGA)

Data for MoIr3Ru after structural relaxation.

Structure (POSCAR):
```
MoIr3Ru
1.0
-4.722 0.545 0.110
-1.736 -1.882 4.851
4.667 5.560 0.668
Ir Mo Ru
6 2 2
Direct
0.419 0.342 0.873 Ir
0.219 0.938 0.477 Ir
0.025 0.036 0.072 Ir
0.625 0.236 0.281 Ir
0.825 0.640 0.677 Ir
0.019 0.543 0.082 Ir
0.413 0.841 0.866 Mo
0.631 0.737 0.288 Mo
0.831 0.140 0.684 Ru
0.213 0.438 0.470 Ru
```

Results
- polymorph energy (0 for the lowest one) (eV/atom) = 0.000
- total magnetic moment (μB per formula unit) = 0.00
- DFT formation energy (meV/atom) = -154
- space-group type = No. 2